[1]
# RhWSe2N

Crystalline RhWSe2N at its relaxed geometry (PBE, Alexandria via LeMat-Bulk).

SG	P4/mmm (123)
energy above the most stable polymorph in this dataset	0	kJ/mol of formula units

Cell lengths 5.0096, 5.0096, 3.7572 Å; angles 90.00, 90.00, 90.00 degrees
Atoms (fractional coordinates):
Se (0.0000, 0.5000, 0.0000)
Se (0.5000, 0.0000, 0.0000)
Rh (0.5000, 0.5000, 0.5000)
N (0.0000, 0.0000, 0.5000)
W (0.0000, 0.0000, 0.0000)

=====

[2]
# RhWSeN2

Crystalline RhWSeN2 at its relaxed geometry (PBE, Alexandria via LeMat-Bulk).

SG	P4/mmm (123)
energy above the most stable polymorph in this dataset	526	kJ/mol of formula units

Cell lengths 3.8008, 3.8008, 5.1691 Å; angles 90.00, 90.00, 90.00 degrees
Atoms (fractional coordinates):
Se (0.0000, 0.0000, 0.5000)
N (0.5000, 0.0000, 0.0000)
N (0.0000, 0.5000, 0.0000)
W (0.5000, 0.5000, 0.5000)
Rh (0.0000, 0.0000, 0.0000)

=====

[3]
# RhWSeN2

Crystalline RhWSeN2 at its relaxed geometry (PBE, Alexandria via LeMat-Bulk).

SG	P4/mmm (123)
energy above the most stable polymorph in this dataset	0	kJ/mol of formula units

Cell lengths 3.8573, 3.8573, 5.3367 Å; angles 90.00, 90.00, 90.00 degrees
Atoms (fractional coordinates):
W (0.0000, 0.0000, 0.0000)
Se (0.0000, 0.0000, 0.5000)
N (0.0000, 0.5000, 0.0000)
N (0.5000, 0.0000, 0.0000)
Rh (0.5000, 0.5000, 0.5000)

=====

[4]
# ZnRhSeN2

Crystalline ZnRhSeN2 at its relaxed geometry (PBE, Alexandria via LeMat-Bulk).

SG	P4/mmm (123)
energy above the most stable polymorph in this dataset	0	kJ/mol of formula units

Cell lengths 3.7840, 3.7840, 5.5795 Å; angles 90.00, 90.00, 90.00 degrees
Atoms (fractional coordinates):
N (0.0000, 0.5000, 0.0000)
N (0.5000, 0.0000, 0.0000)
Rh (0.0000, 0.0000, 0.0000)
Zn (0.5000, 0.5000, 0.5000)
Se (0.0000, 0.0000, 0.5000)

=====

[5]
# ZnRhSeN2

Crystalline ZnRhSeN2 at its relaxed geometry (PBE, Alexandria via LeMat-Bulk).

SG	P4/mmm (123)
energy above the most stable polymorph in this dataset	361	kJ/mol of formula units

Cell lengths 3.7804, 3.7804, 5.4690 Å; angles 90.00, 90.00, 90.00 degrees
Atoms (fractional coordinates):
N (0.0000, 0.5000, 0.0000)
N (0.5000, 0.0000, 0.0000)
Rh (0.5000, 0.5000, 0.5000)
Zn (0.0000, 0.0000, 0.0000)
Se (0.0000, 0.0000, 0.5000)

=====

[6]
# ZrRhSeN2

Crystalline ZrRhSeN2 at its relaxed geometry (PBE, Alexandria via LeMat-Bulk).

SG	P4/mmm (123)
energy above the most stable polymorph in this dataset	59	kJ/mol of formula units

Cell lengths 4.0752, 4.0752, 5.5803 Å; angles 90.00, 90.00, 90.00 degrees
Atoms (fractional coordinates):
N (0.5000, 0.0000, 0.0000)
N (0.0000, 0.5000, 0.0000)
Zr (0.0000, 0.0000, 0.0000)
Rh (0.5000, 0.5000, 0.5000)
Se (0.0000, 0.0000, 0.5000)

=====

[7]
# ZrRhSeN2

Crystalline ZrRhSeN2 at its relaxed geometry (PBE, Alexandria via LeMat-Bulk).

SG	P4/mmm (123)
energy above the most stable polymorph in this dataset	0	kJ/mol of formula units

Cell lengths 3.9311, 3.9311, 4.8854 Å; angles 90.00, 90.00, 90.00 degrees
Atoms (fractional coordinates):
Se (0.0000, 0.0000, 0.5000)
N (0.5000, 0.0000, 0.0000)
N (0.0000, 0.5000, 0.0000)
Zr (0.5000, 0.5000, 0.5000)
Rh (0.0000, 0.0000, 0.0000)

=====

[8]
# ZrRh2SeN

Crystalline ZrRh2SeN at its relaxed geometry (PBE, Alexandria via LeMat-Bulk).

SG	P4/mmm (123)

Cell lengths 4.6189, 3.9656, 4.6189 Å; angles 90.00, 90.00, 90.00 degrees
Atoms (fractional coordinates):
Rh (0.5000, 0.0000, 0.0000)
Rh (0.0000, 0.0000, 0.5000)
N (0.0000, 0.5000, 0.0000)
Zr (0.5000, 0.5000, 0.5000)
Se (0.0000, 0.0000, 0.0000)

=====

[9]
# SiRh3N

Crystalline SiRh3N at its relaxed geometry (PBE, Alexandria via LeMat-Bulk).

SG	Pm-3m (221)
energy above the most stable polymorph in this dataset	0	kJ/mol of formula units

Cell lengths 4.0511, 4.0511, 4.0511 Å; angles 90.00, 90.00, 90.00 degrees
Atoms (fractional coordinates):
N (0.0000, 0.0000, 0.0000)
Rh (0.0000, 0.5000, 0.0000)
Rh (0.5000, 0.0000, 0.0000)
Rh (0.0000, 0.0000, 0.5000)
Si (0.5000, 0.5000, 0.5000)

=====

[10]
# Si2Rh2N

Crystalline Si2Rh2N at its relaxed geometry (PBE, Alexandria via LeMat-Bulk).

SG	P4/mbm (127)
energy above the most stable polymorph in this dataset	0	kJ/mol of formula units

Cell lengths 5.4836, 5.4836, 4.0681 Å; angles 90.00, 90.00, 90.00 degrees
Atoms (fractional coordinates):
Rh (0.3309, 0.1691, 0.5000)
Rh (0.8309, 0.3309, 0.5000)
Rh (0.1691, 0.6691, 0.5000)
Rh (0.6691, 0.8309, 0.5000)
N (0.0000, 0.0000, 0.0000)
N (0.5000, 0.5000, 0.0000)
Si (0.6643, 0.1643, 0.0000)
Si (0.8357, 0.6643, 0.0000)
Si (0.1643, 0.3357, 0.0000)
Si (0.3357, 0.8357, 0.0000)

=====

[11]
# SiRhN3

Crystalline SiRhN3 at its relaxed geometry (PBE, Alexandria via LeMat-Bulk).

SG	Pm-3m (221)

Cell lengths 3.5678, 3.5678, 3.5678 Å; angles 90.00, 90.00, 90.00 degrees
Atoms (fractional coordinates):
Si (0.0000, 0.0000, 0.0000)
N (0.5000, 0.0000, 0.0000)
N (0.0000, 0.5000, 0.0000)
N (0.0000, 0.0000, 0.5000)
Rh (0.5000, 0.5000, 0.5000)

=====

[12]
# Si2Rh2N

Crystalline Si2Rh2N at its relaxed geometry (PBE, Alexandria via LeMat-Bulk).

SG	I4/mmm (139)
energy above the most stable polymorph in this dataset	163	kJ/mol of formula units

Cell lengths 4.0343, 4.0343, 5.5305 Å; angles 68.61, 68.61, 90.00 degrees
Atoms (fractional coordinates):
Si (0.3779, 0.3779, 0.2441)
Si (0.6221, 0.6221, 0.7559)
Rh (0.7500, 0.2500, 0.5000)
Rh (0.2500, 0.7500, 0.5000)
N (0.0000, 0.0000, 0.0000)

=====

[13]
# Si2RhN

Crystalline Si2RhN at its relaxed geometry (PBE, Alexandria via LeMat-Bulk).

SG	I-42d (122)

Cell lengths 5.2942, 5.2942, 5.1942 Å; angles 59.36, 59.36, 90.00 degrees
Atoms (fractional coordinates):
Si (0.3750, 0.4466, 0.7500)
Si (0.8750, 0.8034, 0.7500)
Si (0.5534, 0.1250, 0.2500)
Si (0.1966, 0.6250, 0.2500)
Rh (0.7500, 0.2500, 0.5000)
Rh (0.0000, 0.0000, 0.0000)
N (0.2500, 0.7500, 0.5000)
N (0.5000, 0.5000, 0.0000)

=====

[14]
# SiRhN3

Crystalline SiRhN3 at its relaxed geometry (PBE, Alexandria via LeMat-Bulk).

SG	Pm-3m (221)

Cell lengths 3.8679, 3.8679, 3.8679 Å; angles 90.00, 90.00, 90.00 degrees
Atoms (fractional coordinates):
Si (0.5000, 0.5000, 0.5000)
N (0.0000, 0.5000, 0.0000)
N (0.0000, 0.0000, 0.5000)
N (0.5000, 0.0000, 0.0000)
Rh (0.0000, 0.0000, 0.0000)

=====

Quick rundown of magnetic moment, same order as above: 0.0; 0.0; 0.5; 0.1; 2.3; 0.9; 0.0; 0.0; 0.0; 0.0; 0.0; 2.0; 0.0; 0.0 μB per formula unit
Quick rundown of uncorrected formation energy, same order as above: 0.578; 1.727; 0.637; 0.879; 1.628; 0.758; 0.637; 0.742; 0.227; 0.215; 0.793; 0.553; -0.455; 1.755 eV per atom